1.
First-principles (PBE) data for AgI3O8 after structural relaxation, as listed in the Open Quantum Materials Database.

Symmetry = Pnc2 (30)

Cell lengths 8.006, 7.993, 11.536 Å; angles 90.00, 90.00, 90.00 degrees
Fractional positions:
Ag 0.000 0.000 0.000
Ag 0.000 0.500 0.500
Ag 0.500 0.000 0.030
Ag 0.500 0.500 0.530
I 0.000 0.000 0.571
I 0.000 0.500 0.071
I 0.232 0.244 0.817
I 0.232 0.256 0.317
I 0.251 0.726 0.715
I 0.251 0.774 0.215
I 0.500 0.000 0.467
I 0.500 0.500 0.967
I 0.749 0.226 0.215
I 0.749 0.274 0.715
I 0.768 0.744 0.317
I 0.768 0.756 0.817
O 0.008 0.236 0.343
O 0.008 0.264 0.843
O 0.086 0.741 0.088
O 0.086 0.759 0.588
O 0.172 0.045 0.675
O 0.172 0.455 0.175
O 0.238 0.503 0.685
O 0.238 0.997 0.185
O 0.261 0.089 0.445
O 0.261 0.411 0.945
O 0.268 0.061 0.909
O 0.268 0.439 0.409
O 0.436 0.732 0.125
O 0.436 0.768 0.625
O 0.449 0.673 0.865
O 0.449 0.827 0.365
O 0.551 0.173 0.365
O 0.551 0.327 0.865
O 0.564 0.232 0.625
O 0.564 0.268 0.125
O 0.732 0.561 0.409
O 0.732 0.939 0.909
O 0.739 0.589 0.945
O 0.739 0.911 0.445
O 0.762 0.003 0.185
O 0.762 0.497 0.685
O 0.828 0.545 0.175
O 0.828 0.955 0.675
O 0.914 0.241 0.588
O 0.914 0.259 0.088
O 0.992 0.736 0.843
O 0.992 0.764 0.343

2.
First-principles (PBE) data for Ag4PIO4 after structural relaxation, as listed in the Open Quantum Materials Database.

Symmetry = P2_1/m (11)

Cell lengths 9.132, 6.908, 11.078 Å; angles 90.00, 109.58, 90.00 degrees
Fractional positions:
Ag 0.012 0.042 0.285
Ag 0.012 0.458 0.285
Ag 0.285 0.023 0.040
Ag 0.285 0.477 0.040
Ag 0.310 0.250 0.280
Ag 0.350 0.036 0.573
Ag 0.350 0.464 0.573
Ag 0.376 0.250 0.807
Ag 0.624 0.750 0.193
Ag 0.650 0.536 0.427
Ag 0.650 0.964 0.427
Ag 0.690 0.750 0.720
Ag 0.715 0.523 0.960
Ag 0.715 0.977 0.960
Ag 0.988 0.542 0.715
Ag 0.988 0.958 0.715
P 0.306 0.750 0.297
P 0.363 0.750 0.823
P 0.637 0.250 0.177
P 0.694 0.250 0.703
I 0.038 0.250 0.064
I 0.086 0.250 0.530
I 0.914 0.750 0.470
I 0.962 0.750 0.936
O 0.128 0.750 0.266
O 0.265 0.564 0.824
O 0.265 0.936 0.824
O 0.350 0.750 0.172
O 0.378 0.565 0.376
O 0.378 0.935 0.376
O 0.410 0.750 0.699
O 0.491 0.250 0.054
O 0.509 0.750 0.946
O 0.590 0.250 0.301
O 0.622 0.065 0.624
O 0.622 0.435 0.624
O 0.650 0.250 0.828
O 0.735 0.064 0.176
O 0.735 0.436 0.176
O 0.872 0.250 0.734

3.
First-principles (PBE) data for AgPbIO after structural relaxation, as listed in the Open Quantum Materials Database.

Symmetry = Pnma (62)

Cell lengths 5.724, 6.666, 11.395 Å; angles 90.00, 90.00, 90.00 degrees
Fractional positions:
Ag 0.236 0.250 0.124
Ag 0.264 0.750 0.624
Ag 0.736 0.250 0.376
Ag 0.764 0.750 0.876
Pb 0.202 0.250 0.860
Pb 0.298 0.750 0.360
Pb 0.702 0.250 0.640
Pb 0.798 0.750 0.140
I 0.232 0.250 0.381
I 0.268 0.750 0.881
I 0.732 0.250 0.119
I 0.768 0.750 0.619
O 0.167 0.750 0.185
O 0.333 0.250 0.685
O 0.667 0.750 0.315
O 0.833 0.250 0.815

| no. | E_tot (eV per cell) |
| --- | --- |
| 1 | -201.117 |
| 2 | -188.669 |
| 3 | -58.959 |